# Mg2NbN3, optimized geometry, DFT GGA-PBEsol
# distance to the lowest polymorph of the same formula	24	meV/atom
# crystal system	orthorhombic
# raw formation energy	-621	kJ/mol of formula units
data_Mg2NbN3
_cell_length_a 10.5965
_cell_length_b 6.4069
_cell_length_c 4.3476
_cell_angle_alpha 90.00
_cell_angle_beta 90.00
_cell_angle_gamma 90.00
_symmetry_space_group_name_H-M 'C m c m'
_symmetry_Int_Tables_number 63
_symmetry_space_group_name_Hall '-C 2c 2'
loop_
_atom_site_label
_atom_site_fract_x
_atom_site_fract_y
_atom_site_fract_z
Mg1 0.1710 0.1591 0.2500
Nb1 0.0000 0.3267 0.7500
N1 0.0000 0.3522 0.2500
N2 0.1566 0.1707 0.7500

***

# CrAg2Te, optimized geometry, DFT GGA-PBEsol
# crystal system	cubic
# raw formation energy	141	kJ/mol of formula units
data_CrAg2Te
_cell_length_a 6.6967
_cell_length_b 6.6967
_cell_length_c 6.6967
_cell_angle_alpha 90.00
_cell_angle_beta 90.00
_cell_angle_gamma 90.00
_symmetry_space_group_name_H-M 'F -4 3 m'
_symmetry_Int_Tables_number 216
_symmetry_space_group_name_Hall 'F -4 2 3'
loop_
_atom_site_label
_atom_site_fract_x
_atom_site_fract_y
_atom_site_fract_z
Cr1 0.0000 0.0000 0.0000
Ag1 0.0000 0.0000 0.5000
Ag2 0.2500 0.2500 0.2500
Te1 0.2500 0.2500 0.7500

***

# YSbW2, optimized geometry, DFT GGA-PBEsol
# crystal system	orthorhombic
# raw formation energy	175	kJ/mol of formula units
data_YSbW2
_cell_length_a 3.5270
_cell_length_b 4.5330
_cell_length_c 9.5793
_cell_angle_alpha 90.00
_cell_angle_beta 90.00
_cell_angle_gamma 90.00
_symmetry_space_group_name_H-M 'I m m m'
_symmetry_Int_Tables_number 71
_symmetry_space_group_name_Hall '-I 2 2'
loop_
_atom_site_label
_atom_site_fract_x
_atom_site_fract_y
_atom_site_fract_z
Y1 0.0000 0.0000 0.0000
Sb1 0.0000 0.0000 0.5000
W1 0.0000 0.5000 0.2522

***

# Ba2Pt, optimized geometry, DFT GGA-PBEsol
# crystal system	orthorhombic
# energy relative to the elements	-0.54	eV/atom
data_Ba2Pt
_cell_length_a 7.3219
_cell_length_b 7.4645
_cell_length_c 4.5915
_cell_angle_alpha 90.00
_cell_angle_beta 90.00
_cell_angle_gamma 90.00
_symmetry_space_group_name_H-M 'P n n m'
_symmetry_Int_Tables_number 58
_symmetry_space_group_name_Hall '-P 2 2n'
loop_
_atom_site_label
_atom_site_fract_x
_atom_site_fract_y
_atom_site_fract_z
Ba1 0.2240 0.1776 0.0000
Pt1 0.0000 0.0000 0.5000

***

# Ba2IF2, optimized geometry, DFT GGA-PBEsol
# crystal system	tetragonal
# raw formation energy	-1334	kJ/mol of formula units
data_Ba2IF2
_cell_length_a 4.5879
_cell_length_b 4.5879
_cell_length_c 13.4123
_cell_angle_alpha 90.00
_cell_angle_beta 90.00
_cell_angle_gamma 90.00
_symmetry_space_group_name_H-M 'I 4/m m m'
_symmetry_Int_Tables_number 139
_symmetry_space_group_name_Hall '-I 4 2'
loop_
_atom_site_label
_atom_site_fract_x
_atom_site_fract_y
_atom_site_fract_z
Ba1 0.0000 0.0000 0.1514
I1 0.0000 0.0000 0.5000
F1 0.0000 0.5000 0.2500

***

# CaScFe2, optimized geometry, DFT GGA-PBEsol
# crystal system	orthorhombic
# energy relative to the elements	0.27	eV/atom
data_CaScFe2
_cell_length_a 3.2656
_cell_length_b 4.3575
_cell_length_c 10.3673
_cell_angle_alpha 90.00
_cell_angle_beta 90.00
_cell_angle_gamma 90.00
_symmetry_space_group_name_H-M 'I m m 2'
_symmetry_Int_Tables_number 44
_symmetry_space_group_name_Hall 'I 2 -2'
loop_
_atom_site_label
_atom_site_fract_x
_atom_site_fract_y
_atom_site_fract_z
Ca1 0.0000 0.0000 0.0000
Sc1 0.0000 0.5000 0.2236
Fe1 0.0000 0.0000 0.4048
Fe2 0.0000 0.5000 0.7584

***

# SnPO3F, optimized geometry, DFT GGA-PBEsol
# crystal system	monoclinic
# raw formation energy	-1204	kJ/mol of formula units
data_SnPO3F
_cell_length_a 4.6883
_cell_length_b 12.5905
_cell_length_c 6.2098
_cell_angle_alpha 90.00
_cell_angle_beta 99.29
_cell_angle_gamma 90.00
_symmetry_space_group_name_H-M 'P 1 21/c 1'
_symmetry_Int_Tables_number 14
_symmetry_space_group_name_Hall '-P 2ybc'
loop_
_atom_site_label
_atom_site_fract_x
_atom_site_fract_y
_atom_site_fract_z
Sn1 0.0417 0.1289 0.2837
P1 0.3841 0.6474 0.8287
O1 0.1917 0.7254 0.6856
O2 0.2283 0.5771 0.9740
O3 0.3333 0.1965 0.5571
F1 0.4775 0.5669 0.6574

***

# Li2GaPb2, optimized geometry, DFT GGA-PBEsol
# crystal system	tetragonal
# energy relative to the elements	-0.15	eV/atom
data_Li2GaPb2
_cell_length_a 6.9585
_cell_length_b 6.9585
_cell_length_c 4.3205
_cell_angle_alpha 90.00
_cell_angle_beta 90.00
_cell_angle_gamma 90.00
_symmetry_space_group_name_H-M 'P 4/m b m'
_symmetry_Int_Tables_number 127
_symmetry_space_group_name_Hall '-P 4 2ab'
loop_
_atom_site_label
_atom_site_fract_x
_atom_site_fract_y
_atom_site_fract_z
Li1 0.1394 0.3606 0.0000
Ga1 0.0000 0.0000 0.0000
Pb1 0.1697 0.6697 0.5000

***

# Re2SbN, optimized geometry, DFT GGA-PBEsol
# crystal system	tetragonal
# raw formation energy	237	kJ/mol of formula units
data_Re2SbN
_cell_length_a 4.7477
_cell_length_b 4.7477
_cell_length_c 12.2065
_cell_angle_alpha 90.00
_cell_angle_beta 90.00
_cell_angle_gamma 90.00
_symmetry_space_group_name_H-M 'I -4 2 d'
_symmetry_Int_Tables_number 122
_symmetry_space_group_name_Hall 'I -4 2bw'
loop_
_atom_site_label
_atom_site_fract_x
_atom_site_fract_y
_atom_site_fract_z
Re1 0.1122 0.2500 0.1250
Sb1 0.0000 0.0000 0.5000
N1 0.0000 0.0000 0.0000

***

| no. | total DFT energy (no corrections) (eV per atom) |
| --- | --- |
| 1 | -7.71 |
| 2 | -4.73 |
| 3 | -9.30 |
| 4 | -4.30 |
| 5 | -4.75 |
| 6 | -6.40 |
| 7 | -6.70 |
| 8 | -3.21 |
| 9 | -9.32 |